Record 1
Computed, not measured: a crystal of KAuSe2 relaxed with PBEsol at the SCAN level of DFT.

Values from the calculation:
Uncorrected formation energy: -0.679 eV per atom
Calculated volume: 29.97 Å³/atom
Energy: -120.36 eV/f.u.
Space-group type: C2/m (12)

Cell: 5.8048 5.8048 7.4273 Å, 127.01 127.01 38.44°
Fractional positions:
K 0.0000 0.0000 0.0000
Au 0.0000 0.0000 0.5000
Se 0.3724 0.3724 0.2188
Se 0.6276 0.6276 0.7812

---

Record 2
Computed, not measured: a crystal of Er2Ge3Pt9 relaxed with PBEsol at the SCAN level of DFT.

Values from the calculation:
Calculated formation energy: -908 meV/atom
Calculated volume: 16.31 Å³/atom
Energy: -802.40 eV/f.u.
Space-group type: C2/c (15)

Cell: 7.6940 7.6940 9.9512 Å, 112.92 112.92 60.22°
Fractional positions:
Er 0.0834 0.2540 0.2512
Er 0.2540 0.0834 0.7512
Er 0.7460 0.9166 0.2488
Er 0.9166 0.7460 0.7488
Ge 0.0000 0.5000 0.0000
Ge 0.1400 0.6812 0.5028
Ge 0.3188 0.8600 0.9972
Ge 0.5000 0.0000 0.5000
Ge 0.6812 0.1400 0.0028
Ge 0.8600 0.3188 0.4972
Pt 0.0232 0.8589 0.0772
Pt 0.1411 0.9768 0.4228
Pt 0.1943 0.3592 0.5804
Pt 0.2027 0.5860 0.2571
Pt 0.2979 0.4754 0.9224
Pt 0.3592 0.1943 0.0804
Pt 0.3678 0.6322 0.7500
Pt 0.4140 0.7973 0.2429
Pt 0.4754 0.2979 0.4224
Pt 0.5246 0.7021 0.5776
Pt 0.5860 0.2027 0.7571
Pt 0.6322 0.3678 0.2500
Pt 0.6408 0.8057 0.9196
Pt 0.7021 0.5246 0.0776
Pt 0.7973 0.4140 0.7429
Pt 0.8057 0.6408 0.4196
Pt 0.8589 0.0232 0.5772
Pt 0.9768 0.1411 0.9228

---

Record 3
Computed, not measured: a crystal of InPtBr2 relaxed with PBEsol at the SCAN level of DFT.

Values from the calculation:
Uncorrected formation energy: 0.417 eV per atom
Calculated volume: 22.10 Å³/atom
Energy: -140.83 eV/f.u.
Space-group type: P4/mmm (123)

Cell: 3.4184 3.4184 7.5663 Å, 90.00 90.00 90.00°
Fractional positions:
In 0.0000 0.0000 0.0000
Pt 0.0000 0.0000 0.5000
Br 0.5000 0.5000 0.2836
Br 0.5000 0.5000 0.7164

---

Record 4
Computed, not measured: a crystal of ZnFeN2 relaxed with PBEsol at the SCAN level of DFT.

Values from the calculation:
Uncorrected formation energy: 0.016 eV per atom
Calculated volume: 10.38 Å³/atom
Energy: -50.16 eV/f.u.
Space-group type: I-42d (122)

Cell: 5.3391 5.3391 5.3391 Å, 131.74 131.74 70.64°
Fractional positions:
Zn 0.0000 0.0000 0.0000
Zn 0.7500 0.2500 0.5000
Fe 0.2500 0.7500 0.5000
Fe 0.5000 0.5000 0.0000
N 0.1701 0.6250 0.0451
N 0.3750 0.4201 0.5451
N 0.5799 0.1250 0.9549
N 0.8750 0.8299 0.4549

---

Record 5
Computed, not measured: a crystal of TaTi2ZnTe relaxed with PBEsol at the SCAN level of DFT.

Values from the calculation:
Uncorrected formation energy: 1.074 eV per atom
Calculated volume: 20.42 Å³/atom
Energy: -144.04 eV/f.u.
Space-group type: P4/mmm (123)

Cell: 4.5849 4.5849 4.8566 Å, 90.00 90.00 90.00°
Fractional positions:
Ta 0.0000 0.0000 0.0000
Ti 0.0000 0.5000 0.5000
Ti 0.5000 0.0000 0.5000
Zn 0.5000 0.5000 0.5000
Te 0.5000 0.5000 0.0000

---

Record 6
Computed, not measured: a crystal of HgPdCl2 relaxed with PBEsol at the SCAN level of DFT.

Values from the calculation:
Uncorrected formation energy: -0.342 eV per atom
Calculated volume: 25.25 Å³/atom
Energy: -118.26 eV/f.u.
Space-group type: R-3m (166)

Cell: 9.5103 9.5103 9.5103 Å, 21.47 21.47 21.47°
Fractional positions:
Hg 0.0000 0.0000 0.0000
Pd 0.5000 0.5000 0.5000
Cl 0.1158 0.1158 0.1158
Cl 0.8842 0.8842 0.8842

---

The lowest calculated volume belongs to which entry?
ZnFeN2